Record 1
DFT (GGA-PBE) results for a relaxed YNbCrIn2 crystal.

abc: 5.567 5.567 4.864
angles: 90.00 90.00 90.00
Positions (direct):
Y: 0.000 0.000 0.000
Nb: 0.000 0.000 0.500
Cr: 0.500 0.500 0.500
In: 0.000 0.500 0.000
In: 0.500 0.000 0.000

- E_form (eV/atom) = 2.054

=====

Record 2
DFT (GGA-PBE) results for a relaxed LaTl2Ag crystal.

abc: 3.761 4.960 6.067
angles: 90.00 99.14 90.00
Positions (direct):
La: 0.000 0.000 0.000
Tl: 0.343 0.500 0.730
Tl: 0.657 0.500 0.270
Ag: 0.500 0.000 0.500

- E_form (eV/atom) = -0.166

=====

Record 3
DFT (GGA-PBE) results for a relaxed Rb2HgBr2 crystal.

abc: 9.659 9.659 4.336
angles: 90.00 90.00 90.00
Positions (direct):
Rb: 0.151 0.349 0.000
Rb: 0.349 0.849 0.000
Rb: 0.651 0.151 0.000
Rb: 0.849 0.651 0.000
Hg: 0.000 0.000 0.500
Hg: 0.500 0.500 0.500
Br: 0.147 0.647 0.500
Br: 0.353 0.147 0.500
Br: 0.647 0.853 0.500
Br: 0.853 0.353 0.500

- formation energy (no corrections) (eV per formula unit) = -6.6
- E above lowest polymorph (meV/atom) = 0

=====

Record 4
DFT (GGA-PBE) results for a relaxed SiGe2Se6 crystal.

abc: 9.583 9.583 6.332
angles: 107.12 107.12 92.40
Positions (direct):
Si: 0.217 0.783 0.750
Si: 0.783 0.217 0.250
Ge: 0.185 0.353 0.611
Ge: 0.353 0.185 0.111
Ge: 0.647 0.815 0.889
Ge: 0.815 0.647 0.389
Se: 0.035 0.795 0.423
Se: 0.183 0.591 0.884
Se: 0.205 0.965 0.077
Se: 0.242 0.391 0.285
Se: 0.391 0.242 0.785
Se: 0.409 0.817 0.616
Se: 0.591 0.183 0.384
Se: 0.609 0.758 0.215
Se: 0.758 0.609 0.715
Se: 0.795 0.035 0.923
Se: 0.817 0.409 0.116
Se: 0.965 0.205 0.577

- formation energy (no corrections) (eV per formula unit) = -2.4

=====

Record 5
DFT (GGA-PBE) results for a relaxed Sr2Pb2Se crystal.

abc: 8.289 8.289 5.322
angles: 90.00 90.00 90.00
Positions (direct):
Sr: 0.181 0.319 0.000
Sr: 0.319 0.819 0.000
Sr: 0.681 0.181 0.000
Sr: 0.819 0.681 0.000
Pb: 0.126 0.626 0.500
Pb: 0.374 0.126 0.500
Pb: 0.626 0.874 0.500
Pb: 0.874 0.374 0.500
Se: 0.000 0.000 0.000
Se: 0.500 0.500 0.000

- formation energy (no corrections) (eV per formula unit) = -3.4

=====

Record 6
DFT (GGA-PBE) results for a relaxed LuPuC crystal.

abc: 3.423 3.423 6.175
angles: 90.00 90.00 120.00
Positions (direct):
Lu: 0.000 0.000 0.000
Pu: 0.667 0.333 0.551
C: 0.333 0.667 0.781

- E_form (eV/atom) = -0.131
- E above lowest polymorph (meV/atom) = 0

=====

Record 7
DFT (GGA-PBE) results for a relaxed CaSiOs2 crystal.

abc: 2.871 3.678 6.736
angles: 90.00 90.00 90.00
Positions (direct):
Ca: 0.000 0.000 0.000
Si: 0.500 0.500 0.701
Os: 0.000 0.000 0.506
Os: 0.500 0.500 0.336

- formation energy (no corrections) (eV per formula unit) = 0.7

=====

Record 8
DFT (GGA-PBE) results for a relaxed Ac3Nd12Th crystal.

abc: 5.273 5.273 21.109
angles: 90.00 90.00 90.00
Positions (direct):
Ac: 0.000 0.000 0.000
Ac: 0.000 0.000 0.253
Ac: 0.000 0.000 0.747
Nd: 0.000 0.500 0.127
Nd: 0.000 0.500 0.382
Nd: 0.000 0.500 0.618
Nd: 0.000 0.500 0.873
Nd: 0.500 0.000 0.127
Nd: 0.500 0.000 0.382
Nd: 0.500 0.000 0.618
Nd: 0.500 0.000 0.873
Nd: 0.500 0.500 0.000
Nd: 0.500 0.500 0.253
Nd: 0.500 0.500 0.500
Nd: 0.500 0.500 0.747
Th: 0.000 0.000 0.500

- E_form (eV/atom) = 0.030

=====

Number 5 is which compound?
Sr2Pb2Se

=====

Repeat the third record exactly.
DFT (GGA-PBE) results for a relaxed Rb2HgBr2 crystal.

abc: 9.659 9.659 4.336
angles: 90.00 90.00 90.00
Positions (direct):
Rb: 0.151 0.349 0.000
Rb: 0.349 0.849 0.000
Rb: 0.651 0.151 0.000
Rb: 0.849 0.651 0.000
Hg: 0.000 0.000 0.500
Hg: 0.500 0.500 0.500
Br: 0.147 0.647 0.500
Br: 0.353 0.147 0.500
Br: 0.647 0.853 0.500
Br: 0.853 0.353 0.500

- formation energy (no corrections) (eV per formula unit) = -6.6
- E above lowest polymorph (meV/atom) = 0

=====

What did the seventh record say?
DFT (GGA-PBE) results for a relaxed CaSiOs2 crystal.

abc: 2.871 3.678 6.736
angles: 90.00 90.00 90.00
Positions (direct):
Ca: 0.000 0.000 0.000
Si: 0.500 0.500 0.701
Os: 0.000 0.000 0.506
Os: 0.500 0.500 0.336

- formation energy (no corrections) (eV per formula unit) = 0.7